Material: MgV3Cl
Method: DFT, PBE
State: relaxed

Cell: 4.321 4.321 4.321 Å, 90.00 90.00 90.00°
Site moments in Bohr magnetons follow the coordinates.
Fractional coordinates of all 5 atoms:
Mg 0.500 0.500 0.500  -0.01
V 0.000 0.500 0.000  0.67
V 0.000 0.000 0.500  0.67
V 0.500 0.000 0.000  0.67
Cl 0.000 0.000 0.000  -0.04

Results
- Size of the total moment: 2.2 μB/cell
- E: -5.682 eV per atom